1.
A relaxed structure of ErUBi. Source: OQMD, functional PBE.

The total DFT energy (no corrections) is -5.91 eV/atom.

a b c (Å): 5.207 5.207 5.207
angles (deg): 60.00 60.00 60.00
Sites, in units of the cell vectors:
U 0.750 0.750 0.750
Er 0.000 0.000 0.000
Bi 0.250 0.250 0.250

=====

2.
A relaxed structure of PrDyW. Source: OQMD, functional PBE.

For the formation enthalpy at 0 K, the calculation gives 415 kJ/mol of formula units.

a b c (Å): 4.916 4.916 4.916
angles (deg): 60.00 60.00 60.00
Each line ends with the local moment (μB).
Sites, in units of the cell vectors:
Dy 0.000 0.000 0.000  0.13
Pr 0.250 0.250 0.250  -0.05
W 0.750 0.750 0.750  0.70

=====

3.
A relaxed structure of LiAl2Cu5. Source: OQMD, functional PBE.

The energy above the most stable polymorph in this dataset is 0.000 eV/atom.

a b c (Å): 4.127 4.127 5.839
angles (deg): 90.00 90.00 90.00
Sites, in units of the cell vectors:
Al 0.500 0.500 0.500
Cu 0.500 0.000 0.248
Cu 0.500 0.000 0.752
Al 0.000 0.000 0.000
Cu 0.000 0.500 0.248
Cu 0.000 0.500 0.752
Cu 0.000 0.000 0.500
Li 0.500 0.500 0.000